# 1
Entry from the Alexandria database: a geometry-optimized Cd5In2Hg structure (PBE).

Unit cell a=6.372 b=6.372 c=6.194 alpha=116.80 beta=116.80 gamma=64.99
Element x y z (fractional)
Cd1 0.000 0.000 0.000
Cd2 0.002 0.500 0.002
Cd3 0.002 0.500 0.502
Cd4 0.500 0.002 0.002
Cd5 0.500 0.002 0.502
In1 0.000 0.000 0.500
In2 0.501 0.501 0.004
Hg1 0.502 0.502 0.504

Properties
**ρ**: 8.553 g/cm3
**Space group**: Cm (8)
**N(E_F)**: 0.353 states/eV per atom
**Electronic total energy**: -1.27 eV per atom

# 2
Entry from the Alexandria database: a geometry-optimized Pm3Y2Tm8 structure (PBE).

Unit cell a=7.847 b=4.979 c=11.138 alpha=90.00 beta=97.87 gamma=90.00
Element x y z (fractional)
Pm1 0.000 0.000 0.000
Pm2 0.284 0.500 0.929
Pm3 0.716 0.500 0.071
Y1 0.296 0.000 0.429
Y2 0.704 0.000 0.571
Tm1 0.144 0.000 0.718
Tm2 0.147 0.500 0.219
Tm3 0.428 0.500 0.643
Tm4 0.430 0.000 0.149
Tm5 0.570 0.000 0.851
Tm6 0.572 0.500 0.357
Tm7 0.853 0.500 0.781
Tm8 0.856 0.000 0.282

Properties
**ρ**: 7.567 g/cm3
**Space group**: P2/m (10)
**N(E_F)**: 1.559 states/eV per atom
**Electronic total energy**: -4.68 eV per atom

# 3
Entry from the Alexandria database: a geometry-optimized Cs3CdCu2Br6 structure (PBE).

Unit cell a=8.194 b=8.194 c=9.370 alpha=90.00 beta=90.00 gamma=120.00
Element x y z (fractional)
Cs1 0.000 0.000 0.000
Cs2 0.333 0.667 0.651
Cs3 0.667 0.333 0.349
Cd1 0.000 0.000 0.500
Cu1 0.333 0.667 0.269
Cu2 0.667 0.333 0.731
Br1 0.168 0.335 0.292
Br2 0.168 0.832 0.292
Br3 0.335 0.168 0.708
Br4 0.665 0.832 0.292
Br5 0.832 0.168 0.708
Br6 0.832 0.665 0.708

Properties
**ρ**: 3.406 g/cm3
**Space group**: P-3m1 (164)
**N(E_F)**: 0.243 states/eV per atom
**Electronic total energy**: -2.81 eV per atom
**Formation energy without anion corrections**: -11.97 eV/f.u.

# 4
Entry from the Alexandria database: a geometry-optimized TaCoBr2 structure (PBE).

Unit cell a=3.337 b=3.337 c=8.576 alpha=90.00 beta=90.00 gamma=125.45
Element x y z (fractional)
Ta1 0.000 0.000 0.000
Co1 0.000 0.000 0.500
Br1 0.500 0.500 0.262
Br2 0.500 0.500 0.738

Properties
**ρ**: 8.533 g/cm3
**Space group**: Cmmm (65)
**N(E_F)**: 1.344 states/eV per atom
**Electronic total energy**: -4.91 eV per atom
**Formation energy without anion corrections**: 2.67 eV/f.u.

# 5
Entry from the Alexandria database: a geometry-optimized Tm8Ni2Ag structure (PBE).

Unit cell a=7.634 b=7.634 c=5.425 alpha=98.10 beta=98.10 gamma=113.97
Element x y z (fractional)
Tm1 0.074 0.333 0.589
Tm2 0.240 0.760 0.000
Tm3 0.333 0.074 0.589
Tm4 0.380 0.380 0.191
Tm5 0.620 0.620 0.809
Tm6 0.667 0.926 0.411
Tm7 0.760 0.240 0.000
Tm8 0.926 0.667 0.411
Ni1 0.305 0.695 0.500
Ni2 0.695 0.305 0.500
Ag1 0.000 0.000 0.000

Properties
**ρ**: 9.382 g/cm3
**Space group**: C2/m (12)
**N(E_F)**: 1.250 states/eV per atom
**Electronic total energy**: -4.70 eV per atom

# 6
Entry from the Alexandria database: a geometry-optimized Pr2ZnHgN structure (PBE).

Unit cell a=7.277 b=3.930 c=8.439 alpha=90.00 beta=108.25 gamma=90.00
Element x y z (fractional)
Pr1 0.180 0.250 0.380
Pr2 0.192 0.250 0.964
Pr3 0.808 0.750 0.036
Pr4 0.820 0.750 0.620
Zn1 0.446 0.750 0.251
Zn2 0.554 0.250 0.749
Hg1 0.302 0.750 0.703
Hg2 0.698 0.250 0.297
N1 0.152 0.750 0.171
N2 0.848 0.250 0.829

Properties
**ρ**: 8.140 g/cm3
**Space group**: P2_1/m (11)
**N(E_F)**: 0.492 states/eV per atom
**Electronic total energy**: -4.52 eV per atom
**Formation energy without anion corrections**: -3.15 eV/f.u.

# 7
Entry from the Alexandria database: a geometry-optimized RbCd3Pt structure (PBE).

Unit cell a=8.766 b=8.766 c=7.665 alpha=106.06 beta=106.06 gamma=32.73
Element x y z (fractional)
Rb1 0.183 0.183 0.323
Rb2 0.817 0.817 0.677
Cd1 0.187 0.187 0.867
Cd2 0.407 0.407 0.400
Cd3 0.466 0.466 0.804
Cd4 0.534 0.534 0.196
Cd5 0.593 0.593 0.600
Cd6 0.813 0.813 0.133
Pt1 0.362 0.362 0.028
Pt2 0.638 0.638 0.972

Properties
**ρ**: 6.729 g/cm3
**Space group**: C2/m (12)
**N(E_F)**: 0.361 states/eV per atom
**Electronic total energy**: -2.04 eV per atom

# 8
Entry from the Alexandria database: a geometry-optimized Tl2SbP structure (PBE).

Unit cell a=6.378 b=6.378 c=6.378 alpha=146.09 beta=127.16 gamma=64.28
Element x y z (fractional)
Tl1 0.000 0.000 0.000
Tl2 0.712 0.212 0.500
Sb1 0.300 0.800 0.500
P1 0.465 0.465 0.000

Properties
**ρ**: 8.178 g/cm3
**Space group**: Imm2 (44)
**N(E_F)**: 0.457 states/eV per atom
**Electronic total energy**: -3.48 eV per atom
**Formation energy without anion corrections**: 0.36 eV/f.u.

# 9
Entry from the Alexandria database: a geometry-optimized LaZrAs2 structure (PBE).

Unit cell a=4.189 b=6.417 c=6.417 alpha=35.89 beta=90.00 gamma=90.00
Element x y z (fractional)
La1 0.000 0.000 0.000
Zr1 0.500 0.743 0.743
As1 0.000 0.271 0.271
As2 0.500 0.533 0.533

Properties
**ρ**: 6.240 g/cm3
**Space group**: Amm2 (38)
**N(E_F)**: 0.715 states/eV per atom
**Electronic total energy**: -6.70 eV per atom

# 10
Entry from the Alexandria database: a geometry-optimized Li2MgTe2 structure (PBE).

Unit cell a=7.839 b=7.839 c=4.122 alpha=90.00 beta=90.00 gamma=90.00
Element x y z (fractional)
Li1 0.132 0.368 0.000
Li2 0.368 0.868 0.000
Li3 0.632 0.132 0.000
Li4 0.868 0.632 0.000
Mg1 0.000 0.000 0.500
Mg2 0.500 0.500 0.500
Te1 0.179 0.679 0.500
Te2 0.321 0.179 0.500
Te3 0.679 0.821 0.500
Te4 0.821 0.321 0.500

Properties
**ρ**: 3.847 g/cm3
**Space group**: P4/mbm (127)
**N(E_F)**: 0.040 states/eV per atom
**Electronic total energy**: -3.03 eV per atom
**Formation energy without anion corrections**: -3.46 eV/f.u.

# 11
Entry from the Alexandria database: a geometry-optimized HfPaAs2Ru5 structure (PBE).

Unit cell a=4.183 b=4.183 c=8.627 alpha=90.00 beta=90.00 gamma=90.00
Element x y z (fractional)
Hf1 0.000 0.000 0.000
Pa1 0.000 0.000 0.500
As1 0.500 0.500 0.138
As2 0.500 0.500 0.862
Ru1 0.000 0.500 0.267
Ru2 0.000 0.500 0.733
Ru3 0.500 0.000 0.267
Ru4 0.500 0.000 0.733
Ru5 0.500 0.500 0.500

Properties
**ρ**: 11.714 g/cm3
**Space group**: P4/mmm (123)
**N(E_F)**: 0.533 states/eV per atom
**Electronic total energy**: -8.73 eV per atom

# 12
Entry from the Alexandria database: a geometry-optimized AcTl3In structure (PBE).

Unit cell a=12.719 b=12.719 c=5.134 alpha=90.05 beta=90.05 gamma=22.20
Element x y z (fractional)
Ac1 0.000 0.000 0.000
Ac2 0.711 0.711 0.499
Tl1 0.105 0.105 0.465
Tl2 0.197 0.197 0.969
Tl3 0.514 0.514 0.469
Tl4 0.606 0.606 0.962
Tl5 0.815 0.815 0.904
Tl6 0.896 0.896 0.404
In1 0.312 0.312 0.311
In2 0.400 0.400 0.811

Properties
**ρ**: 10.106 g/cm3
**Space group**: Cm (8)
**N(E_F)**: 0.568 states/eV per atom
**Electronic total energy**: -2.99 eV per atom